Record 1
The following is a DFT calculation (PBE) of an optimized crystal structure of Er6AlTe3As2.

Values from the calculation:
Calculated volume: 26.8 A^3/atom
DFT total energy: -64.34 eV for the cell shown
ΔE_f (raw): -1.208 eV per atom

abc: 4.1430 8.6379 9.5222
angles: 104.09 102.56 90.00
Closest atoms and distances in Å follow each position.
Element x y z (fractional)
Er1 0.3388 0.8988 0.6776  2 As 2.88, 1 Al 2.90, 3 Te 3.08-3.14
Er2 0.6742 0.5663 0.3485  3 As 2.85, 3 Te 3.11-3.15
Er3 0.6612 0.1012 0.3224  2 As 2.88, 1 Al 2.90, 3 Te 3.08-3.14
Er4 0.0062 0.2407 0.0123  1 As 2.91, 2 Al 2.92, 3 Te 3.07-3.14
Er5 0.9938 0.7593 0.9877  1 As 2.91, 2 Al 2.92, 3 Te 3.07-3.14
Er6 0.3258 0.4337 0.6515  3 As 2.85, 3 Te 3.11-3.15
Al1 0.5000 0.0000 0.0000  6 Er 2.90-2.92
Te1 0.5000 0.5000 0.0000  6 Er 3.07-3.15
Te2 0.8321 0.1686 0.6642  6 Er 3.08-3.14
Te3 0.1679 0.8314 0.3358  6 Er 3.08-3.14
As1 0.8325 0.6638 0.6649  6 Er 2.85-2.91
As2 0.1675 0.3362 0.3351  6 Er 2.85-2.91

---

Record 2
The following is a DFT calculation (PBE) of an optimized crystal structure of Ba2NiHg.

Values from the calculation:
Formation enthalpy at 0 K: 0.296 eV/f.u.
Calculated volume: 37.1 A^3/atom
DFT total energy: -19.27 eV for the cell shown

abc: 8.6679 8.6679 7.2920
angles: 53.53 53.53 90.00
Closest atoms and distances in Å follow each position.
Element x y z (fractional)
Ni1 0.5000 0.5000 0.0000  4 Ba 2.96
Ni2 0.2500 0.7500 0.5000  4 Ba 2.96
Hg1 0.0000 0.0000 0.0000  4 Ba 3.51
Hg2 0.7500 0.2500 0.5000  4 Ba 3.51
Ba1 0.5771 0.1250 0.2500  2 Ni 2.96
Ba2 0.1729 0.6250 0.2500  2 Ni 2.96
Ba3 0.3750 0.4229 0.7500  2 Ni 2.96
Ba4 0.8750 0.8271 0.7500  2 Ni 2.96

---

Record 3
The following is a DFT calculation (PBE) of an optimized crystal structure of CrSnTe2.

Values from the calculation:
Calculated volume: 36.4 A^3/atom
DFT total energy: -39.59 eV for the cell shown
ΔE_f (raw): 0.028 eV per atom

abc: 6.6294 6.6294 8.1165
angles: 65.90 65.90 90.00
Closest atoms and distances in Å follow each position.
Element x y z (fractional)
Cr1 0.5000 0.5000 0.0000  4 Te 2.70
Cr2 0.2500 0.7500 0.5000  4 Te 2.70
Te1 0.5778 0.1250 0.2500  2 Cr 2.70
Te2 0.1722 0.6250 0.2500  2 Cr 2.70
Te3 0.3750 0.4222 0.7500  2 Cr 2.70
Te4 0.8750 0.8278 0.7500  2 Cr 2.70
Sn1 0.0000 0.0000 0.0000  4 Te 3.06
Sn2 0.7500 0.2500 0.5000  4 Te 3.06

---

Record 4
The following is a DFT calculation (PBE) of an optimized crystal structure of SiNiIr2.

Values from the calculation:
Calculated volume: 13.2 A^3/atom
DFT total energy: -29.68 eV for the cell shown
ΔE_f (raw): -0.190 eV per atom

abc: 2.7616 3.6738 5.2111
angles: 90.00 90.00 90.00
Closest atoms and distances in Å follow each position.
Element x y z (fractional)
Ir1 0.0000 0.0000 0.9748  2 Ni 2.55-2.66, 4 Si 2.57, 6 Ir 2.76-2.82
Ir2 0.5000 0.5000 0.2872  1 Si 2.43, 4 Ni 2.52
Ni1 0.0000 0.0000 0.4851  6 Ir 2.52-2.66, 4 Si 2.69, 2 Ni 2.76
Si1 0.5000 0.5000 0.7529  5 Ir 2.43-2.57, 4 Ni 2.69

---

Record 5
The following is a DFT calculation (PBE) of an optimized crystal structure of TePb2Se.

Values from the calculation:
Calculated volume: 36.0 A^3/atom
DFT total energy: -15.24 eV for the cell shown
Offset from the most stable computed form: 182.4 meV/atom
ΔE_f (raw): -0.298 eV per atom

abc: 9.2072 9.2072 9.2072
angles: 27.21 27.21 27.21
Closest atoms and distances in Å follow each position.
Element x y z (fractional)
Pb1 0.9913 0.9913 0.9913  3 Te 3.01
Pb2 0.7638 0.7638 0.7638  3 Se 2.87
Se1 0.4833 0.4833 0.4833  3 Pb 2.87
Te1 0.2616 0.2616 0.2616  3 Pb 3.01

---

Record 6
The following is a DFT calculation (PBE) of an optimized crystal structure of PmSm2Sb.

Values from the calculation:
Calculated volume: 29.1 A^3/atom
DFT total energy: -20.45 eV for the cell shown
Offset from the most stable computed form: 41.3 meV/atom
ΔE_f (raw): -0.534 eV per atom

abc: 4.8750 4.8864 4.8864
angles: 90.00 90.00 90.00
Closest atoms and distances in Å follow each position.
Element x y z (fractional)
Sb1 0.5000 0.0000 0.0000  8 Sm 3.45, 4 Pm 3.46
Sm1 0.0000 0.0000 0.5000  4 Sb 3.45, 4 Pm 3.45, 4 Sm 3.46
Sm2 0.0000 0.5000 0.0000  4 Pm 3.45, 4 Sb 3.45, 4 Sm 3.46
Pm1 0.5000 0.5000 0.5000  8 Sm 3.45, 4 Sb 3.46